VASP calculation (GGA-PBE) on a geometry-optimized CaMn2Si structure.

**Raw formation energy**: 0.260 eV per atom
**Calculated total energy**: -49.448 eV per cell
**Crystal system**: orthorhombic
**Total magnetization**: 12.784 μB/cell
**Density of states at the Fermi level**: 7.8 states/eV/cell

a = 3.5562 Å, b = 4.3117 Å, c = 9.3638 Å
α = 90.00°, β = 90.00°, γ = 90.00°
Closest atoms and distances in Å follow each position.
Positions (direct):
Ca  0.0000  0.0000  0.0000  8 Mn 2.88-3.12, 4 Si 2.98-3.14
Ca  0.5000  0.5000  0.5000  8 Mn 2.88-3.12, 4 Si 2.98-3.14
Mn  0.0000  0.0000  0.5737  2 Si 2.39
Mn  0.0000  0.5000  0.7739  4 Si 2.81, 2 Mn 2.86, 4 Ca 3.02-3.12
Mn  0.5000  0.0000  0.2739  4 Si 2.81, 2 Mn 2.86, 4 Ca 3.02-3.12
Mn  0.5000  0.5000  0.0737  2 Si 2.39
Si  0.0000  0.5000  0.2441  2 Mn 2.39
Si  0.5000  0.0000  0.7441  2 Mn 2.39